A geometry-optimized Na4CrIr3Se8 structure, computed with PBE.

Magnetization: 2.97 Bohr magnetons per cell
ΔE_f (raw): -60 kJ/mol of atoms
Total DFT energy (no corrections): -4.953 eV per atom

Cell: 8.0053 8.0053 8.0053 Å, 57.11 57.11 57.11°
With the nearest neighbours (Å) after each atom.
Element x y z (fractional)
Na  0.0000  0.0000  0.0000  6 Se 3.00
Na  0.0000  0.5000  0.5000  6 Se 3.03-3.05
Na  0.5000  0.0000  0.5000  6 Se 3.03-3.05
Na  0.5000  0.5000  0.0000  6 Se 3.03-3.05
Cr  0.5000  0.5000  0.5000  6 Se 2.58
Ir  0.0000  0.0000  0.5000  6 Se 2.53-2.54
Ir  0.0000  0.5000  0.0000  6 Se 2.53-2.54
Ir  0.5000  0.0000  0.0000  6 Se 2.53-2.54
Se  0.2268  0.7327  0.7327  2 Ir 2.54, 1 Cr 2.58
Se  0.2283  0.2283  0.2283  3 Ir 2.53
Se  0.2673  0.2673  0.7732  2 Ir 2.54, 1 Cr 2.58
Se  0.2673  0.7732  0.2673  2 Ir 2.54, 1 Cr 2.58
Se  0.7327  0.2268  0.7327  2 Ir 2.54, 1 Cr 2.58
Se  0.7327  0.7327  0.2268  2 Ir 2.54, 1 Cr 2.58
Se  0.7717  0.7717  0.7717  3 Ir 2.53
Se  0.7732  0.2673  0.2673  2 Ir 2.54, 1 Cr 2.58